[1]
First-principles (PBE) data for crystalline La10Tl3Te3 at its relaxed geometry, as listed in Alexandria via LeMat-Bulk.

a b c (Å): 9.5794 9.5794 6.7242
angles (deg): 90.00 90.00 120.00
With the nearest neighbours (Å) after each atom.
Space group P-62m (No. 189)
Asymmetric unit:
La  0.0000  0.2517  0.0000 [3 per cell]  3 Te 3.22-3.52
La  0.0000  0.7471  0.5000 [3 per cell]  3 Tl 3.26-3.45, 2 Te 3.58
La  0.3333  0.6667  0.2361 [4 per cell]  2 La 3.17-3.55, 3 Te 3.39, 3 Tl 3.46
Tl  0.0000  0.3871  0.5000 [3 per cell]  9 La 3.26-3.60
Te  0.0000  0.6187  0.0000 [3 per cell]  9 La 3.22-3.58

## Properties
**Volume**: 33.40 A^3/atom
**Magnetic moment**: 0.000 μB/atom
**Calculated density**: 7.41 Mg/m³

[2]
First-principles (PBE) data for crystalline LaTlTe at its relaxed geometry, as listed in Alexandria via LeMat-Bulk.

a b c (Å): 7.5999 7.5999 7.5999
angles (deg): 90.00 90.00 90.00
With the nearest neighbours (Å) after each atom.
Space group F-43m (No. 216)
Asymmetric unit:
La  0.0000  0.0000  0.0000 [4 per cell]  4 Tl 3.29, 4 Te 3.29
Tl  0.2500  0.2500  0.2500 [4 per cell]  4 La 3.29
Te  0.2500  0.2500  0.7500 [4 per cell]  4 La 3.29

## Properties
**Volume**: 36.58 A^3/atom
**Energy above the most stable polymorph in this dataset**: 0.3456 eV/atom
**Magnetic moment**: 0.000 μB/atom
**Calculated density**: 7.13 Mg/m³

[3]
First-principles (PBE) data for crystalline LaTlTe2 at its relaxed geometry, as listed in Alexandria via LeMat-Bulk.

a b c (Å): 4.1812 4.4414 16.6919
angles (deg): 90.00 90.00 90.00
With the nearest neighbours (Å) after each atom.
Space group Imm2 (No. 44)
Asymmetric unit:
La  0.0000  0.0000  0.0000 [2 per cell]  6 Te 3.18-3.29
Tl  0.0000  0.5000  0.2382 [2 per cell]  4 Te 3.44
Te  0.0000  0.0000  0.4267 [2 per cell]  4 La 3.29
Te  0.0000  0.5000  0.6432 [2 per cell]  2 La 3.18, 4 Tl 3.44

## Properties
**Volume**: 38.75 A^3/atom
**Magnetic moment**: 0.000 μB/atom
**Calculated density**: 6.41 Mg/m³

[4]
First-principles (PBE) data for crystalline LaTlTe2 at its relaxed geometry, as listed in Alexandria via LeMat-Bulk.

a b c (Å): 4.6540 4.6540 24.8948
angles (deg): 90.00 90.00 120.00
With the nearest neighbours (Å) after each atom.
Space group R3m (No. 160, hexagonal axes)
Asymmetric unit:
La  0.0000  0.0000  0.0000 [3 per cell]  6 Te 3.23-3.25
Tl  0.0000  0.0000  0.8300 [3 per cell]  6 Te 3.49-3.63
Te  0.0000  0.0000  0.4069 [3 per cell]  3 La 3.25, 3 Tl 3.49
Te  0.0000  0.0000  0.5944 [3 per cell]  3 La 3.23

## Properties
**Volume**: 38.91 A^3/atom
**Magnetic moment**: 0.000 μB/atom
**Calculated density**: 6.38 Mg/m³

[5]
First-principles (PBE) data for crystalline LaTl2Te at its relaxed geometry, as listed in Alexandria via LeMat-Bulk.

a b c (Å): 4.3015 4.3015 27.3188
angles (deg): 90.00 90.00 120.00
With the nearest neighbours (Å) after each atom.
Space group R3m (No. 160, hexagonal axes)
Asymmetric unit:
La  0.0000  0.0000  0.0000 [3 per cell]  3 Te 3.15, 3 Tl 3.42
Tl  0.0000  0.0000  0.2472 [3 per cell]  3 Tl 3.42, 3 La 3.42
Tl  0.0000  0.0000  0.4946 [3 per cell]  3 Tl 3.42, 3 Te 3.50
Te  0.0000  0.0000  0.7375 [3 per cell]  3 La 3.15, 3 Tl 3.50

## Properties
**Volume**: 36.48 A^3/atom
**Energy above the most stable polymorph in this dataset**: 0.1652 eV/atom
**Magnetic moment**: 0.000 μB/atom
**Calculated density**: 7.68 Mg/m³

[6]
First-principles (PBE) data for crystalline La4Tl2Te at its relaxed geometry, as listed in Alexandria via LeMat-Bulk.

a b c (Å): 9.7981 9.7981 9.7436
angles (deg): 90.00 90.00 90.00
With the nearest neighbours (Å) after each atom.
Space group I-42d (No. 122)
Asymmetric unit:
La  0.0732  0.6797  0.4464 [16 per cell]  4 Tl 3.25-3.54, 2 Te 3.26-3.52
Tl  0.1270  0.7500  0.1250 [8 per cell]  8 La 3.25-3.54
Te  0.0000  0.0000  0.5000 [4 per cell]  8 La 3.26-3.52

## Properties
**Volume**: 33.41 A^3/atom
**Magnetic moment**: 0.001 μB/atom
**Calculated density**: 7.75 Mg/m³

[7]
First-principles (PBE) data for crystalline LaTlTe4 at its relaxed geometry, as listed in Alexandria via LeMat-Bulk.

a b c (Å): 6.9725 6.9725 8.8838
angles (deg): 90.00 90.00 90.00
With the nearest neighbours (Å) after each atom.
Space group P4/nbm (No. 125, origin choice 2)
Asymmetric unit:
La  0.2500  0.2500  0.0000 [2 per cell]  8 Te 3.33
Tl  0.2500  0.2500  0.5000 [2 per cell]  8 Te 3.64
Te  0.1067  0.6067  0.2232 [8 per cell]  1 Te 2.83

## Properties
**Volume**: 35.99 A^3/atom
**Energy above the most stable polymorph in this dataset**: 0.0000 eV/atom
**Magnetic moment**: 0.000 μB/atom
**Calculated density**: 6.56 Mg/m³

[8]
First-principles (PBE) data for crystalline LaTl2Te at its relaxed geometry, as listed in Alexandria via LeMat-Bulk.

a b c (Å): 4.0472 4.0472 28.0397
angles (deg): 90.00 90.00 120.00
With the nearest neighbours (Å) after each atom.
Space group R-3m (No. 166, hexagonal axes)
Asymmetric unit:
La  0.0000  0.0000  0.0000 [3 per cell]  6 Tl 3.49
Tl  0.0000  0.0000  0.2410 [6 per cell]  3 Te 3.13, 3 La 3.49
Te  0.0000  0.0000  0.5000 [3 per cell]  6 Tl 3.13

## Properties
**Volume**: 33.15 A^3/atom
**Energy above the most stable polymorph in this dataset**: 0.4944 eV/atom
**Magnetic moment**: 0.072 μB/atom
**Calculated density**: 8.46 Mg/m³

[9]
First-principles (PBE) data for crystalline La3TlTe at its relaxed geometry, as listed in Alexandria via LeMat-Bulk.

a b c (Å): 8.1803 4.7435 9.0669
angles (deg): 90.00 112.53 90.00
With the nearest neighbours (Å) after each atom.
Space group P2_1/m (No. 11)
Asymmetric unit:
La  0.0185  0.2500  0.1905 [2 per cell]  3 Te 3.33-3.53, 3 Tl 3.43-3.48, 2 La 3.72
La  0.3602  0.2500  0.9656 [2 per cell]  2 La 3.19, 1 Tl 3.23, 2 Te 3.32
La  0.3835  0.7500  0.5980 [2 per cell]  2 Tl 3.27, 3 Te 3.42-3.43
Tl  0.1057  0.2500  0.5917 [2 per cell]  2 Tl 3.03, 3 La 3.23-3.27
Te  0.3081  0.7500  0.2004 [2 per cell]  9 La 3.32-3.57

## Properties
**Volume**: 32.50 A^3/atom
**Energy above the most stable polymorph in this dataset**: 0.0004 eV/atom
**Magnetic moment**: 0.000 μB/atom
**Calculated density**: 7.65 Mg/m³

[10]
First-principles (PBE) data for crystalline LaTl2Te at its relaxed geometry, as listed in Alexandria via LeMat-Bulk.

a b c (Å): 9.0846 9.0846 6.4523
angles (deg): 90.00 90.00 90.00
With the nearest neighbours (Å) after each atom.
Space group I-42d (No. 122)
Asymmetric unit:
La  0.0000  0.0000  0.0000 [4 per cell]  2 Te 3.23, 4 Tl 3.39
Tl  0.2377  0.2500  0.6250 [8 per cell]  2 Tl 3.23, 2 Te 3.24, 2 La 3.39
Te  0.0000  0.0000  0.5000 [4 per cell]  2 La 3.23, 4 Tl 3.24

## Properties
**Volume**: 33.28 A^3/atom
**Energy above the most stable polymorph in this dataset**: 0.2511 eV/atom
**Magnetic moment**: 0.000 μB/atom
**Calculated density**: 8.42 Mg/m³

[11]
First-principles (PBE) data for crystalline LaTl2Te at its relaxed geometry, as listed in Alexandria via LeMat-Bulk.

a b c (Å): 7.9385 7.9385 7.9385
angles (deg): 90.00 90.00 90.00
With the nearest neighbours (Å) after each atom.
Space group Fm-3m (No. 225)
Asymmetric unit:
La  0.0000  0.0000  0.0000 [4 per cell]  8 Tl 3.44
Tl  0.2500  0.2500  0.2500 [8 per cell]  4 La 3.44, 4 Te 3.44
Te  0.0000  0.0000  0.5000 [4 per cell]  8 Tl 3.44

## Properties
**Volume**: 31.27 A^3/atom
**Energy above the most stable polymorph in this dataset**: 0.3826 eV/atom
**Magnetic moment**: 0.000 μB/atom
**Calculated density**: 8.97 Mg/m³

[12]
First-principles (PBE) data for crystalline LaTl2Te at its relaxed geometry, as listed in Alexandria via LeMat-Bulk.

a b c (Å): 4.9322 4.9455 9.8788
angles (deg): 90.00 90.00 90.00
With the nearest neighbours (Å) after each atom.
Space group Imm2 (No. 44)
Asymmetric unit:
La  0.0000  0.0000  0.0000 [2 per cell]  8 Tl 3.49-3.50, 4 Te 3.49-3.50
Tl  0.0000  0.0000  0.5005 [2 per cell]  4 Tl 3.49-3.50, 4 Te 3.49, 4 La 3.49
Tl  0.0000  0.5000  0.2503 [2 per cell]  4 La 3.49-3.50, 4 Tl 3.49-3.50, 4 Te 3.49
Te  0.0000  0.5000  0.7499 [2 per cell]  4 La 3.49-3.50, 8 Tl 3.49

## Properties
**Volume**: 30.12 A^3/atom
**Energy above the most stable polymorph in this dataset**: 0.0451 eV/atom
**Magnetic moment**: 0.000 μB/atom
**Calculated density**: 9.31 Mg/m³

| no. | electronic total energy (eV per atom) |
| --- | --- |
| 1 | -4.8557 |
| 2 | -4.0093 |
| 3 | -4.4417 |
| 4 | -4.5256 |
| 5 | -3.6724 |
| 6 | -4.6314 |
| 7 | -4.0851 |
| 8 | -3.3432 |
| 9 | -4.7720 |
| 10 | -3.5865 |
| 11 | -3.4550 |
| 12 | -3.7925 |